# 1
Compound: AcBOs
Source: Alexandria via LeMat-Bulk
Functional: PBE-GGA
Structure: relaxed

Formation enthalpy at 0 K: -0.39 eV/f.u.
Distance to the lowest polymorph of the same formula: 0.085 eV/atom
Calculated density: 12.2 g/cm³

a b c (Å): 3.7530 3.7530 4.7802
angles (deg): 90.00 90.00 120.00
Last column: nearest neighbours and their distance in Å.
Space group P-6m2 (No. 187)
One atom of each set of equivalent atoms:
Ac 0.0000 0.0000 0.0000 [1 per cell]  6 B 3.23, 6 Os 3.23
B 0.3333 0.6667 0.5000 [1 per cell]  3 Os 2.17
Os 0.6667 0.3333 0.5000 [1 per cell]  3 B 2.17



# 2
Compound: ThB2Mo
Source: Alexandria via LeMat-Bulk
Functional: PBE-GGA
Structure: relaxed

Formation enthalpy at 0 K: -0.18 eV/f.u.
Calculated density: 9.5 g/cm³

a b c (Å): 3.4110 3.4110 18.1085
angles (deg): 90.00 90.00 120.00
Last column: nearest neighbours and their distance in Å.
Space group R-3m (No. 166, hexagonal axes)
One atom of each set of equivalent atoms:
Th 0.0000 0.0000 0.0000 [3 per cell]  6 B 2.72
B 0.0000 0.0000 0.2299 [6 per cell]  3 Mo 2.28
Mo 0.0000 0.0000 0.5000 [3 per cell]  6 B 2.28



# 3
Compound: FeTeN2Cl
Source: Alexandria via LeMat-Bulk
Functional: PBE-GGA
Structure: relaxed

Raw formation energy: 900 meV/atom
Distance to the lowest polymorph of the same formula: 0.000 eV/atom
Calculated density: 5.4 g/cm³

a b c (Å): 3.7195 3.7195 5.5109
angles (deg): 90.00 90.00 90.00
Last column: nearest neighbours and their distance in Å.
Space group P4/mmm (No. 123)
One atom of each set of equivalent atoms:
Fe 0.0000 0.0000 0.0000 [1 per cell]  4 N 1.86
Te 0.0000 0.0000 0.5000 [1 per cell]  4 Cl 2.63, 2 Fe 2.76
N 0.0000 0.5000 0.0000 [2 per cell]  2 Fe 1.86
Cl 0.5000 0.5000 0.5000 [1 per cell]  4 Te 2.63



# 4
Compound: Y3PtRh2
Source: Alexandria via LeMat-Bulk
Functional: PBE-GGA
Structure: relaxed

Formation enthalpy at 0 K: -5.77 eV/f.u.
Calculated density: 8.9 g/cm³

a b c (Å): 3.4897 3.4897 10.1836
angles (deg): 90.00 90.00 90.00
Last column: nearest neighbours and their distance in Å.
Space group P4/mmm (No. 123)
One atom of each set of equivalent atoms:
Y 0.0000 0.0000 0.0000 [1 per cell]  8 Rh 3.00, 2 Y 3.35
Y 0.0000 0.0000 0.3289 [2 per cell]  4 Rh 2.97, 4 Pt 3.02
Pt 0.5000 0.5000 0.5000 [1 per cell]  8 Y 3.02
Rh 0.5000 0.5000 0.1668 [2 per cell]  8 Y 2.97-3.00



# 5
Compound: Sr2Ca2Cu
Source: Alexandria via LeMat-Bulk
Functional: PBE-GGA
Structure: relaxed

Formation enthalpy at 0 K: 1.12 eV/f.u.
Distance to the lowest polymorph of the same formula: 0.172 eV/atom
Calculated density: 2.5 g/cm³

a b c (Å): 8.0235 8.0235 6.5302
angles (deg): 90.00 90.00 90.00
Last column: nearest neighbours and their distance in Å.
Space group P4/mbm (No. 127)
One atom of each set of equivalent atoms:
Sr 0.1658 0.3342 0.0000 [4 per cell]  2 Cu 2.99
Ca 0.1667 0.6667 0.5000 [4 per cell]  6 Sr 3.78-4.22, 5 Ca 3.78-4.23
Cu 0.0000 0.0000 0.0000 [2 per cell]  4 Sr 2.99



# 6
Compound: GdCdAg
Source: Alexandria via LeMat-Bulk
Functional: PBE-GGA
Structure: relaxed

Formation enthalpy at 0 K: -0.92 eV/f.u.
Calculated density: 8.9 g/cm³

a b c (Å): 4.9278 4.9278 3.3558
angles (deg): 90.00 90.00 120.00
Last column: nearest neighbours and their distance in Å.
Space group P-6m2 (No. 187)
One atom of each set of equivalent atoms:
Gd 0.0000 0.0000 0.0000 [1 per cell]  6 Cd 3.30, 6 Ag 3.30, 2 Gd 3.36
Cd 0.3333 0.6667 0.5000 [1 per cell]  3 Ag 2.85
Ag 0.6667 0.3333 0.5000 [1 per cell]  3 Cd 2.85



# 7
Compound: NaB3Cl
Source: Alexandria via LeMat-Bulk
Functional: PBE-GGA
Structure: relaxed

Raw formation energy: 2313 meV/atom
Distance to the lowest polymorph of the same formula: 0.000 eV/atom
Calculated density: 2.1 g/cm³

a b c (Å): 4.1787 4.1787 4.1787
angles (deg): 90.00 90.00 90.00
Last column: nearest neighbours and their distance in Å.
Space group Pm-3m (No. 221)
One atom of each set of equivalent atoms:
Na 0.0000 0.0000 0.0000 [1 per cell]  12 B 2.95
B 0.0000 0.5000 0.5000 [3 per cell]  2 Cl 2.09
Cl 0.5000 0.5000 0.5000 [1 per cell]  6 B 2.09



# 8
Compound: CrNCl2
Source: Alexandria via LeMat-Bulk
Functional: PBE-GGA
Structure: relaxed

Raw formation energy: 1627 meV/atom
Distance to the lowest polymorph of the same formula: 0.462 eV/atom
Calculated density: 3.6 g/cm³

a b c (Å): 3.1535 3.1535 21.7465
angles (deg): 90.00 90.00 120.00
Last column: nearest neighbours and their distance in Å.
Space group R-3m (No. 166, hexagonal axes)
One atom of each set of equivalent atoms:
Cr 0.0000 0.0000 0.0000 [3 per cell]  2 Cl 2.10
N 0.0000 0.0000 0.5000 [3 per cell]  6 Cl 2.38
Cl 0.0000 0.0000 0.0965 [6 per cell]  1 Cr 2.10



# 9
Compound: DyThCdAu
Source: Alexandria via LeMat-Bulk
Functional: PBE-GGA
Structure: relaxed

Formation enthalpy at 0 K: -1.52 eV/f.u.
Calculated density: 11.2 g/cm³

a b c (Å): 7.4670 7.4670 7.4670
angles (deg): 90.00 90.00 90.00
Last column: nearest neighbours and their distance in Å.
Space group F-43m (No. 216)
One atom of each set of equivalent atoms:
Dy 0.0000 0.0000 0.0000 [4 per cell]  4 Cd 3.23, 4 Au 3.23
Th 0.0000 0.0000 0.5000 [4 per cell]  4 Cd 3.23, 4 Au 3.23
Cd 0.2500 0.2500 0.2500 [4 per cell]  4 Th 3.23, 4 Dy 3.23
Au 0.2500 0.2500 0.7500 [4 per cell]  4 Th 3.23, 4 Dy 3.23



# 10
Compound: YTm2Te
Source: Alexandria via LeMat-Bulk
Functional: PBE-GGA
Structure: relaxed

Raw formation energy: -513 meV/atom
Distance to the lowest polymorph of the same formula: 0.124 eV/atom
Calculated density: 7.4 g/cm³

a b c (Å): 3.8424 3.8424 29.1325
angles (deg): 90.00 90.00 120.00
Last column: nearest neighbours and their distance in Å.
Space group R3m (No. 160, hexagonal axes)
One atom of each set of equivalent atoms:
Y 0.0000 0.0000 0.0000 [3 per cell]  6 Tm 3.52-3.54, 6 Y 3.84
Tm 0.0000 0.0000 0.5727 [3 per cell]  3 Te 3.06
Tm 0.0000 0.0000 0.7614 [3 per cell]  3 Te 3.05
Te 0.0000 0.0000 0.1668 [3 per cell]  6 Tm 3.05-3.06



# 11
Compound: BaZn3Rh
Source: Alexandria via LeMat-Bulk
Functional: PBE-GGA
Structure: relaxed

Formation enthalpy at 0 K: -0.79 eV/f.u.
Distance to the lowest polymorph of the same formula: 0.198 eV/atom
Calculated density: 6.3 g/cm³

a b c (Å): 17.1318 3.9705 6.9279
angles (deg): 90.00 101.89 90.00
Last column: nearest neighbours and their distance in Å.
Space group C2/m (No. 12)
One atom of each set of equivalent atoms:
Ba 0.1029 0.0000 0.1794 [4 per cell]  2 Rh 3.21, 8 Zn 3.35-3.48
Zn 0.0664 0.0000 0.6487 [4 per cell]  2 Rh 2.55, 1 Zn 2.74
Zn 0.2044 0.5000 0.5569 [4 per cell]  1 Rh 2.49, 2 Zn 2.74
Zn 0.2361 0.0000 0.8618 [4 per cell]  3 Rh 2.60-2.67, 4 Zn 2.73-2.87
Rh 0.1366 0.5000 0.8424 [4 per cell]  6 Zn 2.49-2.67



# 12
Compound: Rb2GeBr3Cl
Source: Alexandria via LeMat-Bulk
Functional: PBE-GGA
Structure: relaxed

Raw formation energy: -1314 meV/atom
Calculated density: 3.4 g/cm³

a b c (Å): 5.2961 5.5317 17.4784
angles (deg): 90.00 90.00 90.00
Last column: nearest neighbours and their distance in Å.
Space group Immm (No. 71)
One atom of each set of equivalent atoms:
Rb 0.0000 0.0000 0.1398 [4 per cell]  7 Br 3.46-3.85, 2 Cl 3.69
Ge 0.0000 0.0000 0.5000 [2 per cell]  2 Cl 2.65, 4 Br 2.77-2.83
Br 0.0000 0.0000 0.3380 [4 per cell]  1 Ge 2.83
Br 0.0000 0.5000 0.5000 [2 per cell]  2 Ge 2.77
Cl 0.0000 0.5000 0.0000 [2 per cell]  2 Ge 2.65



# 13
Compound: Cr2ReAgCl
Source: Alexandria via LeMat-Bulk
Functional: PBE-GGA
Structure: relaxed

Raw formation energy: 1799 meV/atom
Calculated density: 5.5 g/cm³

a b c (Å): 5.1089 5.1089 5.0356
angles (deg): 90.00 90.00 90.00
Last column: nearest neighbours and their distance in Å.
Space group P4/mmm (No. 123)
One atom of each set of equivalent atoms:
Cr 0.0000 0.5000 0.0000 [2 per cell]  2 Ag 2.55
Re 0.0000 0.0000 0.5000 [1 per cell]  2 Ag 2.52
Ag 0.0000 0.0000 0.0000 [1 per cell]  2 Re 2.52, 4 Cr 2.55
Cl 0.5000 0.5000 0.5000 [1 per cell]  8 Cr 3.59, 4 Re 3.61



# 14
Compound: ScTlHg3
Source: Alexandria via LeMat-Bulk
Functional: PBE-GGA
Structure: relaxed

Formation enthalpy at 0 K: 1.23 eV/f.u.
Distance to the lowest polymorph of the same formula: 0.000 eV/atom
Calculated density: 8.1 g/cm³

a b c (Å): 5.5993 5.5993 5.5993
angles (deg): 90.00 90.00 90.00
Last column: nearest neighbours and their distance in Å.
Space group Pm-3m (No. 221)
One atom of each set of equivalent atoms:
Sc 0.0000 0.0000 0.0000 [1 per cell]  6 Hg 2.80
Tl 0.5000 0.5000 0.5000 [1 per cell]  12 Hg 3.96
Hg 0.0000 0.0000 0.5000 [3 per cell]  2 Sc 2.80



# 15
Compound: ErScAlCr
Source: Alexandria via LeMat-Bulk
Functional: PBE-GGA
Structure: relaxed

Formation enthalpy at 0 K: -0.20 eV/f.u.
Calculated density: 5.8 g/cm³

a b c (Å): 6.9528 6.9528 6.9528
angles (deg): 90.00 90.00 90.00
Last column: nearest neighbours and their distance in Å.
Space group F-43m (No. 216)
One atom of each set of equivalent atoms:
Er 0.0000 0.0000 0.0000 [4 per cell]  4 Cr 3.01, 4 Al 3.01
Sc 0.0000 0.0000 0.5000 [4 per cell]  4 Al 3.01, 4 Cr 3.01
Al 0.2500 0.2500 0.2500 [4 per cell]  4 Er 3.01, 4 Sc 3.01
Cr 0.2500 0.2500 0.7500 [4 per cell]  4 Er 3.01, 4 Sc 3.01



# 16
Compound: AcMnCuGe2
Source: Alexandria via LeMat-Bulk
Functional: PBE-GGA
Structure: relaxed

Formation enthalpy at 0 K: -2.21 eV/f.u.
Calculated density: 8.1 g/cm³

a b c (Å): 4.3467 4.3467 10.6127
angles (deg): 90.00 90.00 90.00
Last column: nearest neighbours and their distance in Å.
Space group I-4m2 (No. 119)
One atom of each set of equivalent atoms:
Ac 0.0000 0.0000 0.0000 [2 per cell]  8 Ge 3.36, 4 Mn 3.43, 4 Cu 3.43
Mn 0.0000 0.5000 0.2500 [2 per cell]  4 Ge 2.53
Cu 0.0000 0.5000 0.7500 [2 per cell]  4 Ge 2.53
Ge 0.0000 0.0000 0.3717 [4 per cell]  2 Mn 2.53, 2 Cu 2.53, 1 Ge 2.72



# 17
Compound: RbNa2TlIn
Source: Alexandria via LeMat-Bulk
Functional: PBE-GGA
Structure: relaxed

Formation enthalpy at 0 K: 0.18 eV/f.u.
Distance to the lowest polymorph of the same formula: 0.010 eV/atom
Calculated density: 3.5 g/cm³

a b c (Å): 6.0745 6.0745 5.8459
angles (deg): 90.00 90.00 90.00
Last column: nearest neighbours and their distance in Å.
Space group P4/mmm (No. 123)
One atom of each set of equivalent atoms:
Rb 0.0000 0.0000 0.0000 [1 per cell]  8 Na 4.22, 4 In 4.30
Na 0.0000 0.5000 0.5000 [2 per cell]  2 Tl 3.04
Tl 0.5000 0.5000 0.5000 [1 per cell]  2 In 2.92, 4 Na 3.04
In 0.5000 0.5000 0.0000 [1 per cell]  2 Tl 2.92



# 18
Compound: Ce3Ga2Au6
Source: Alexandria via LeMat-Bulk
Functional: PBE-GGA
Structure: relaxed

Formation enthalpy at 0 K: -4.84 eV/f.u.
Calculated density: 11.3 g/cm³

a b c (Å): 4.1159 4.1159 30.1637
angles (deg): 90.00 90.00 90.00
Last column: nearest neighbours and their distance in Å.
Space group I4/mmm (No. 139)
One atom of each set of equivalent atoms:
Ce 0.0000 0.0000 0.0000 [2 per cell]  8 Au 3.11
Ce 0.0000 0.0000 0.1759 [4 per cell]  5 Au 3.06-3.23, 4 Ga 3.19
Ga 0.0000 0.0000 0.3678 [4 per cell]  5 Au 2.64-2.73
Au 0.0000 0.0000 0.2773 [4 per cell]  1 Ga 2.73
Au 0.0000 0.5000 0.0774 [8 per cell]  2 Ga 2.64, 4 Au 2.91



# 19
Compound: AcErTl6
Source: Alexandria via LeMat-Bulk
Functional: PBE-GGA
Structure: relaxed

Formation enthalpy at 0 K: -2.03 eV/f.u.
Calculated density: 11.5 g/cm³

a b c (Å): 4.8976 4.8976 9.7231
angles (deg): 90.00 90.00 90.00
Last column: nearest neighbours and their distance in Å.
Space group P4/mmm (No. 123)
One atom of each set of equivalent atoms:
Ac 0.0000 0.0000 0.0000 [1 per cell]  12 Tl 3.46-3.54
Er 0.0000 0.0000 0.5000 [1 per cell]  12 Tl 3.36-3.46
Tl 0.0000 0.5000 0.2629 [4 per cell]  8 Tl 3.36-3.54, 2 Er 3.36, 2 Ac 3.54
Tl 0.5000 0.5000 0.0000 [1 per cell]  4 Ac 3.46, 8 Tl 3.54
Tl 0.5000 0.5000 0.5000 [1 per cell]  8 Tl 3.36, 4 Er 3.46



# 20
Compound: SbTe2CN
Source: Alexandria via LeMat-Bulk
Functional: PBE-GGA
Structure: relaxed

Raw formation energy: 2164 meV/atom
Distance to the lowest polymorph of the same formula: 1.205 eV/atom
Calculated density: 5.1 g/cm³

a b c (Å): 5.8245 5.8245 3.8800
angles (deg): 90.00 90.00 90.00
Last column: nearest neighbours and their distance in Å.
Space group P4/mmm (No. 123)
One atom of each set of equivalent atoms:
Sb 0.0000 0.0000 0.0000 [1 per cell]  2 N 1.94
Te 0.0000 0.5000 0.0000 [2 per cell]  2 Sb 2.91
C 0.5000 0.5000 0.5000 [1 per cell]  8 Te 3.50, 2 C 3.88
N 0.0000 0.0000 0.5000 [1 per cell]  2 Sb 1.94